Computed, not measured: a relaxed Sr2Ta crystal at the PBE-GGA level of DFT.

Lattice parameters (Å, degrees): 14.568 14.568 14.568 90.00 90.00 90.00
Space group Fd-3m (No. 227, origin choice 2)
Symmetry-distinct sites (fractional):
1 Sr 0.000 0.000 0.000 x16
2 Ta 0.125 0.125 0.125 x8

Excess energy over the best structure of this formula in the dataset in kJ/mol of atoms: 56.28
Calculated total energy in eV/f.u.: -8.354
Size of the total moment in μB per formula unit: 6.3
Crystal system: cubic